Cs4Rb2Co2O5 after structural relaxation. Source: OQMD via LeMat-Bulk, functional PBE+U.

relative energy among the computed polymorphs = 0.25 eV/f.u.
crystal system = monoclinic
VASP energy = -109.30 eV per cell

Geometry as CIF:
```
data_Cs4Rb2Co2O5
_chemical_formula_sum 'Cs8 Rb4 Co4 O10'
_cell_length_a 7.364
_cell_length_b 12.151
_cell_length_c 7.181
_cell_angle_alpha 90.00
_cell_angle_beta 96.12
_cell_angle_gamma 90.00
_space_group_name_H-M_alt 'C 1 m 1'
_space_group_IT_number 8
loop_
_space_group_symop_operation_xyz
'x,y,z'
'x,-y,z'
'x+1/2,y+1/2,z'
'x+1/2,-y+1/2,z'
loop_
_atom_site_label
_atom_site_fract_x
_atom_site_fract_y
_atom_site_fract_z
Cs1 0.000 0.204 0.000
Cs2 0.495 0.255 0.502
Rb1 0.126 0.500 0.826
Rb2 0.349 0.000 0.183
Co1 0.200 0.000 0.664
Co2 0.296 0.500 0.302
O1 0.041 0.000 0.446
O2 0.196 0.368 0.233
O3 0.304 0.126 0.787
```